Run 1
Here is a geometry-optimized HfGaNF2 structure from Alexandria. Energies are from PBE-GGA.

Cell and atoms, written as CIF:
```
data_HfGaNF2
_chemical_formula_sum 'Hf1 Ga1 N1 F2'
_cell_length_a 4.235
_cell_length_b 4.235
_cell_length_c 4.185
_cell_angle_alpha 90.00
_cell_angle_beta 90.00
_cell_angle_gamma 90.00
_symmetry_space_group_name_H-M 'P 4/m m m'
_symmetry_Int_Tables_number 123
_symmetry_space_group_name_Hall '-P 4 2'
loop_
_atom_site_label
_atom_site_fract_x
_atom_site_fract_y
_atom_site_fract_z
Hf1 0.000 0.000 0.000
Ga1 0.500 0.500 0.500
N1 0.000 0.000 0.500
F1 0.000 0.500 0.000
```

=====

Run 2
Here is a geometry-optimized HfGaNF2 structure from Alexandria. Energies are from PBE-GGA.

Cell and atoms, written as CIF:
```
data_HfGaNF2
_chemical_formula_sum 'Hf1 Ga1 N1 F2'
_cell_length_a 4.079
_cell_length_b 4.079
_cell_length_c 3.733
_cell_angle_alpha 90.00
_cell_angle_beta 90.00
_cell_angle_gamma 90.00
_symmetry_space_group_name_H-M 'P 4/m m m'
_symmetry_Int_Tables_number 123
_symmetry_space_group_name_Hall '-P 4 2'
loop_
_atom_site_label
_atom_site_fract_x
_atom_site_fract_y
_atom_site_fract_z
Hf1 0.000 0.000 0.000
Ga1 0.500 0.500 0.500
N1 0.500 0.500 0.000
F1 0.000 0.500 0.500
```

=====

The computed energies, referenced to the most stable structure and given in kJ/mol of atoms, are run 1 0.0; run 2 103.1.

=====

Run 1
Here is a geometry-optimized HfGaN2F structure from Alexandria. Energies are from PBE-GGA.

Cell and atoms, written as CIF:
```
data_HfGaN2F
_chemical_formula_sum 'Hf1 Ga1 N2 F1'
_cell_length_a 4.225
_cell_length_b 4.225
_cell_length_c 4.122
_cell_angle_alpha 90.00
_cell_angle_beta 90.00
_cell_angle_gamma 90.00
_symmetry_space_group_name_H-M 'P 4/m m m'
_symmetry_Int_Tables_number 123
_symmetry_space_group_name_Hall '-P 4 2'
loop_
_atom_site_label
_atom_site_fract_x
_atom_site_fract_y
_atom_site_fract_z
Hf1 0.000 0.000 0.000
Ga1 0.500 0.500 0.500
N1 0.000 0.500 0.000
F1 0.000 0.000 0.500
```

=====

Run 2
Here is a geometry-optimized HfGaN2F structure from Alexandria. Energies are from PBE-GGA.

Cell and atoms, written as CIF:
```
data_HfGaN2F
_chemical_formula_sum 'Hf1 Ga1 N2 F1'
_cell_length_a 3.934
_cell_length_b 3.934
_cell_length_c 3.612
_cell_angle_alpha 90.00
_cell_angle_beta 90.00
_cell_angle_gamma 90.00
_symmetry_space_group_name_H-M 'P 4/m m m'
_symmetry_Int_Tables_number 123
_symmetry_space_group_name_Hall '-P 4 2'
loop_
_atom_site_label
_atom_site_fract_x
_atom_site_fract_y
_atom_site_fract_z
Hf1 0.000 0.000 0.000
Ga1 0.500 0.500 0.500
N1 0.000 0.500 0.500
F1 0.500 0.500 0.000
```

=====

The computed energies, referenced to the most stable structure and given in kJ/mol of atoms, are run 1 0.0; run 2 21.6.

=====

Run 1
Here is a geometry-optimized Ga2HgF structure from Alexandria. Energies are from PBE-GGA.

Cell and atoms, written as CIF:
```
data_Ga2HgF
_chemical_formula_sum 'Ga8 Hg4 F4'
_cell_length_a 6.700
_cell_length_b 6.700
_cell_length_c 6.700
_cell_angle_alpha 90.00
_cell_angle_beta 90.00
_cell_angle_gamma 90.00
_symmetry_space_group_name_H-M 'F m -3 m'
_symmetry_Int_Tables_number 225
_symmetry_space_group_name_Hall '-F 4 2 3'
loop_
_atom_site_label
_atom_site_fract_x
_atom_site_fract_y
_atom_site_fract_z
Ga1 0.250 0.250 0.250
Hg1 0.000 0.000 0.000
F1 0.000 0.000 0.500
```

=====

Run 2
Here is a geometry-optimized Ga2HgF structure from Alexandria. Energies are from PBE-GGA.

Cell and atoms, written as CIF:
```
data_Ga2HgF
_chemical_formula_sum 'Ga8 Hg4 F4'
_cell_length_a 4.767
_cell_length_b 4.767
_cell_length_c 15.746
_cell_angle_alpha 90.00
_cell_angle_beta 90.00
_cell_angle_gamma 90.00
_symmetry_space_group_name_H-M 'I -4 2 d'
_symmetry_Int_Tables_number 122
_symmetry_space_group_name_Hall 'I -4 2bw'
loop_
_atom_site_label
_atom_site_fract_x
_atom_site_fract_y
_atom_site_fract_z
Ga1 0.136 0.250 0.125
Hg1 0.000 0.000 0.500
F1 0.000 0.000 0.000
```

=====

The computed energies, referenced to the most stable structure and given in kJ/mol of atoms, are run 1 7.6; run 2 0.0.

=====

Run 1
Here is a geometry-optimized GaHg2F6 structure from Alexandria. Energies are from PBE-GGA.

Cell and atoms, written as CIF:
```
data_GaHg2F6
_chemical_formula_sum 'Ga4 Hg8 F24'
_cell_length_a 5.539
_cell_length_b 18.089
_cell_length_c 5.435
_cell_angle_alpha 90.00
_cell_angle_beta 90.00
_cell_angle_gamma 90.00
_symmetry_space_group_name_H-M 'C m c e'
_symmetry_Int_Tables_number 64
_symmetry_space_group_name_Hall '-C 2ac 2'
loop_
_atom_site_label
_atom_site_fract_x
_atom_site_fract_y
_atom_site_fract_z
Ga1 0.000 0.000 0.000
Hg1 0.000 0.173 0.454
F1 0.000 0.101 0.085
F2 0.250 0.021 0.750
F3 0.250 0.227 0.750
```

=====

Run 2
Here is a geometry-optimized GaHg2F6 structure from Alexandria. Energies are from PBE-GGA.

Cell and atoms, written as CIF:
```
data_GaHg2F6
_chemical_formula_sum 'Ga2 Hg4 F12'
_cell_length_a 5.455
_cell_length_b 5.455
_cell_length_c 9.878
_cell_angle_alpha 90.00
_cell_angle_beta 90.00
_cell_angle_gamma 90.00
_symmetry_space_group_name_H-M 'P 42/m n m'
_symmetry_Int_Tables_number 136
_symmetry_space_group_name_Hall '-P 4n 2n'
loop_
_atom_site_label
_atom_site_fract_x
_atom_site_fract_y
_atom_site_fract_z
Ga1 0.000 0.000 0.000
Hg1 0.000 0.000 0.348
F1 0.174 0.174 0.144
F2 0.247 0.753 0.000
```

=====

The computed energies, referenced to the most stable structure and given in kJ/mol of atoms, are run 1 3.6; run 2 0.0.

=====

Run 1
Here is a geometry-optimized GaHgN2F structure from Alexandria. Energies are from PBE-GGA.

Cell and atoms, written as CIF:
```
data_GaHgN2F
_chemical_formula_sum 'Ga1 Hg1 N2 F1'
_cell_length_a 4.262
_cell_length_b 4.262
_cell_length_c 4.944
_cell_angle_alpha 90.00
_cell_angle_beta 90.00
_cell_angle_gamma 90.00
_symmetry_space_group_name_H-M 'P 4/m m m'
_symmetry_Int_Tables_number 123
_symmetry_space_group_name_Hall '-P 4 2'
loop_
_atom_site_label
_atom_site_fract_x
_atom_site_fract_y
_atom_site_fract_z
Ga1 0.000 0.000 0.000
Hg1 0.500 0.500 0.500
N1 0.000 0.500 0.500
F1 0.500 0.500 0.000
```

=====

Run 2
Here is a geometry-optimized GaHgN2F structure from Alexandria. Energies are from PBE-GGA.

Cell and atoms, written as CIF:
```
data_GaHgN2F
_chemical_formula_sum 'Ga1 Hg1 N2 F1'
_cell_length_a 4.031
_cell_length_b 4.031
_cell_length_c 3.962
_cell_angle_alpha 90.00
_cell_angle_beta 90.00
_cell_angle_gamma 90.00
_symmetry_space_group_name_H-M 'P 4/m m m'
_symmetry_Int_Tables_number 123
_symmetry_space_group_name_Hall '-P 4 2'
loop_
_atom_site_label
_atom_site_fract_x
_atom_site_fract_y
_atom_site_fract_z
Ga1 0.000 0.000 0.000
Hg1 0.500 0.500 0.500
N1 0.000 0.500 0.000
F1 0.000 0.000 0.500
```

=====

The computed energies, referenced to the most stable structure and given in kJ/mol of atoms, are run 1 67.7; run 2 0.0.

=====

Run 1
Here is a geometry-optimized Na2GaHgF6 structure from Alexandria. Energies are from PBE-GGA.

Cell and atoms, written as CIF:
```
data_Na2GaHgF6
_chemical_formula_sum 'Na6 Ga3 Hg3 F18'
_cell_length_a 5.8013
_cell_length_b 5.8013
_cell_length_c 15.6151
_cell_angle_alpha 90.00
_cell_angle_beta 90.00
_cell_angle_gamma 120.00
_symmetry_space_group_name_H-M 'R 3'
_symmetry_Int_Tables_number 146
_symmetry_space_group_name_Hall 'R 3'
loop_
_atom_site_label
_atom_site_fract_x
_atom_site_fract_y
_atom_site_fract_z
Na1 0.0000 0.0000 0.0000
Na2 0.0000 0.0000 0.4779
Ga1 0.0000 0.0000 0.6831
Hg1 0.0000 0.0000 0.2128
F1 0.0342 0.7563 0.6031
F2 0.0509 0.3829 0.4124
```

=====

Run 2
Here is a geometry-optimized Na2GaHgF6 structure from Alexandria. Energies are from PBE-GGA.

Cell and atoms, written as CIF:
```
data_Na2GaHgF6
_chemical_formula_sum 'Na8 Ga4 Hg4 F24'
_cell_length_a 8.770
_cell_length_b 8.770
_cell_length_c 8.770
_cell_angle_alpha 90.00
_cell_angle_beta 90.00
_cell_angle_gamma 90.00
_symmetry_space_group_name_H-M 'F m -3 m'
_symmetry_Int_Tables_number 225
_symmetry_space_group_name_Hall '-F 4 2 3'
loop_
_atom_site_label
_atom_site_fract_x
_atom_site_fract_y
_atom_site_fract_z
Na1 0.250 0.250 0.250
Ga1 0.000 0.000 0.000
Hg1 0.000 0.000 0.500
F1 0.000 0.000 0.219
```

=====

The computed energies, referenced to the most stable structure and given in kJ/mol of atoms, are run 1 0.0; run 2 13.6.

=====

Run 1
Here is a geometry-optimized HoGaF structure from Alexandria. Energies are from PBE-GGA.

Cell and atoms, written as CIF:
```
data_HoGaF
_chemical_formula_sum 'Ho2 Ga2 F2'
_cell_length_a 3.228
_cell_length_b 3.228
_cell_length_c 11.222
_cell_angle_alpha 90.00
_cell_angle_beta 90.00
_cell_angle_gamma 90.00
_symmetry_space_group_name_H-M 'I 4 m m'
_symmetry_Int_Tables_number 107
_symmetry_space_group_name_Hall 'I 4 -2'
loop_
_atom_site_label
_atom_site_fract_x
_atom_site_fract_y
_atom_site_fract_z
Ho1 0.000 0.000 0.000
Ga1 0.000 0.000 0.288
F1 0.000 0.000 0.556
```

=====

Run 2
Here is a geometry-optimized HoGaF structure from Alexandria. Energies are from PBE-GGA.

Cell and atoms, written as CIF:
```
data_HoGaF
_chemical_formula_sum 'Ho4 Ga4 F4'
_cell_length_a 3.616
_cell_length_b 3.616
_cell_length_c 16.138
_cell_angle_alpha 90.00
_cell_angle_beta 90.00
_cell_angle_gamma 90.00
_symmetry_space_group_name_H-M 'I 4/m m m'
_symmetry_Int_Tables_number 139
_symmetry_space_group_name_Hall '-I 4 2'
loop_
_atom_site_label
_atom_site_fract_x
_atom_site_fract_y
_atom_site_fract_z
Ho1 0.000 0.000 0.100
Ga1 0.000 0.000 0.285
F1 0.000 0.500 0.000
```

=====

The computed energies, referenced to the most stable structure and given in kJ/mol of atoms, are run 1 38.0; run 2 0.0.

=====

Run 1
Here is a geometry-optimized GaIF2 structure from Alexandria. Energies are from PBE-GGA.

Cell and atoms, written as CIF:
```
data_GaIF2
_chemical_formula_sum 'Ga4 I4 F8'
_cell_length_a 6.258
_cell_length_b 6.258
_cell_length_c 8.881
_cell_angle_alpha 90.00
_cell_angle_beta 90.00
_cell_angle_gamma 90.00
_symmetry_space_group_name_H-M 'I 41/a m d'
_symmetry_Int_Tables_number 141
loop_
_symmetry_equiv_pos_as_xyz
'x,y,z'
'-x,-y,-z'
'-y+1/4,x+3/4,z+1/4'
'y+1/4,-x+3/4,-z+1/4'
'-x+1/2,-y,z+1/2'
'x+1/2,y,-z+1/2'
'y+1/4,-x+1/4,z+3/4'
'-y+1/4,x+1/4,-z+3/4'
'x,-y,-z'
'-x,y,z'
'-y+1/4,-x+1/4,-z+3/4'
'y+1/4,x+1/4,z+3/4'
'-x+1/2,y,-z+1/2'
'x+1/2,-y,z+1/2'
'y+1/4,x+3/4,-z+1/4'
'-y+1/4,-x+3/4,z+1/4'
'x+1/2,y+1/2,z+1/2'
'-x+1/2,-y+1/2,-z+1/2'
'-y+3/4,x+1/4,z+3/4'
'y+3/4,-x+1/4,-z+3/4'
'-x,-y+1/2,z'
'x,y+1/2,-z'
'y+3/4,-x+3/4,z+1/4'
'-y+3/4,x+3/4,-z+1/4'
'x+1/2,-y+1/2,-z+1/2'
'-x+1/2,y+1/2,z+1/2'
'-y+3/4,-x+3/4,-z+1/4'
'y+3/4,x+3/4,z+1/4'
'-x,y+1/2,-z'
'x,-y+1/2,z'
'y+3/4,x+1/4,-z+3/4'
'-y+3/4,-x+1/4,z+3/4'
loop_
_atom_site_label
_atom_site_fract_x
_atom_site_fract_y
_atom_site_fract_z
Ga1 0.000 0.250 0.375
I1 0.000 0.250 0.875
F1 0.000 0.000 0.500
```

=====

Run 2
Here is a geometry-optimized GaIF2 structure from Alexandria. Energies are from PBE-GGA.

Cell and atoms, written as CIF:
```
data_GaIF2
_chemical_formula_sum 'Ga3 I3 F6'
_cell_length_a 3.2689
_cell_length_b 3.2689
_cell_length_c 29.7744
_cell_angle_alpha 90.00
_cell_angle_beta 90.00
_cell_angle_gamma 120.00
_symmetry_space_group_name_H-M 'R -3 m'
_symmetry_Int_Tables_number 166
_symmetry_space_group_name_Hall '-R 3 2"'
loop_
_atom_site_label
_atom_site_fract_x
_atom_site_fract_y
_atom_site_fract_z
Ga1 0.0000 0.0000 0.0000
I1 0.0000 0.0000 0.5000
F1 0.0000 0.0000 0.0601
```

=====

Run 3
Here is a geometry-optimized GaIF2 structure from Alexandria. Energies are from PBE-GGA.

Cell and atoms, written as CIF:
```
data_GaIF2
_chemical_formula_sum 'Ga4 I4 F8'
_cell_length_a 6.515
_cell_length_b 6.515
_cell_length_c 6.515
_cell_angle_alpha 90.00
_cell_angle_beta 90.00
_cell_angle_gamma 90.00
_symmetry_space_group_name_H-M 'F m -3 m'
_symmetry_Int_Tables_number 225
_symmetry_space_group_name_Hall '-F 4 2 3'
loop_
_atom_site_label
_atom_site_fract_x
_atom_site_fract_y
_atom_site_fract_z
Ga1 0.000 0.000 0.000
I1 0.000 0.000 0.500
F1 0.250 0.250 0.250
```

=====

The computed energies, referenced to the most stable structure and given in kJ/mol of atoms, are run 1 0.0; run 2 36.9; run 3 74.7.